! TaHCl6 | Alexandria via LeMat-Bulk | PBE-GGA | relaxed; values from VASP
! - total magnetic moment (μB per formula unit) = 0.1
! - energy above the most stable polymorph in this dataset (meV/atom) = 0
! - SG = C2, No. 5
&SYSTEM
  ibrav = 0, nat = 16, ntyp = 3
/
ATOMIC_SPECIES
H 1.01 H.upf
Ta 180.95 Ta.upf
Cl 35.45 Cl.upf
CELL_PARAMETERS angstrom
8.9773 0.2324 -3.3134
-4.2245 7.9158 -3.3344
-0.2317 -0.4852 9.2561
ATOMIC_POSITIONS angstrom
H -1.0721 6.8831 4.5713
H 7.0637 3.3009 -4.0198
Ta -3.7815 7.0702 1.7408
Ta 1.3284 3.7945 1.3791
Cl 8.0406 1.1278 2.2316
Cl 2.2305 3.5453 3.4972
Cl -2.6614 7.1114 -0.2341
Cl 3.0296 2.6048 0.4595
Cl 3.4497 6.1050 -2.5103
Cl -0.5839 2.7673 2.1141
Cl 0.3039 3.9771 -0.7425
Cl 1.5493 6.0524 1.4783
Cl 5.6266 2.3386 5.2444
Cl 5.5132 5.5956 -0.0768
Cl -0.3253 6.6621 -3.7274
Cl 2.2329 0.2839 6.1264

! TiCr3Fe | Alexandria via LeMat-Bulk | PBE-GGA | relaxed; values from VASP
! - total magnetic moment (μB per formula unit) = 2.0
! - energy above the most stable polymorph in this dataset (meV/atom) = 0
! - energy of formation from the pure elements (eV/atom) = 0.924
! - SG = Pm-3m, No. 221
&SYSTEM
  ibrav = 0, nat = 5, ntyp = 3
/
ATOMIC_SPECIES
Cr 52.00 Cr.upf
Fe 55.84 Fe.upf
Ti 47.87 Ti.upf
CELL_PARAMETERS angstrom
-0.1405 -1.2793 -4.0036
3.5638 -2.1599 0.5651
-2.2281 -3.3740 1.1563
ATOMIC_POSITIONS angstrom
Cr -0.0703 -0.6396 -2.0018
Cr -1.1141 -1.6870 0.5782
Cr 1.7819 -1.0799 0.2825
Fe 0.0000 0.0000 0.0000
Ti 0.5976 -3.4066 -1.1411

! HfBeW2N | Alexandria via LeMat-Bulk | PBE-GGA | relaxed; values from VASP
! - total magnetic moment (μB per formula unit) = 0.0
! - formation energy without anion corrections (kJ/mol of formula units) = 1153.8
! - SG = P4/mmm, No. 123
&SYSTEM
  ibrav = 0, nat = 5, ntyp = 4
/
ATOMIC_SPECIES
Be 9.01 Be.upf
Hf 178.49 Hf.upf
W 183.84 W.upf
N 14.01 N.upf
CELL_PARAMETERS angstrom
4.9776 0.0000 0.0000
0.0000 3.9460 0.0000
0.0000 0.0000 4.9776
ATOMIC_POSITIONS angstrom
Be 2.4888 1.9730 2.4888
Hf 0.0000 0.0000 0.0000
W 2.4888 0.0000 0.0000
W 0.0000 0.0000 2.4888
N 0.0000 1.9730 0.0000

! Li3BeAg | Alexandria via LeMat-Bulk | PBE-GGA | relaxed; values from VASP
! - total magnetic moment (μB per formula unit) = 0.0
! - energy above the most stable polymorph in this dataset (meV/atom) = 123
! - energy of formation from the pure elements (eV/atom) = 0.583
! - SG = Pm-3m, No. 221
&SYSTEM
  ibrav = 0, nat = 5, ntyp = 3
/
ATOMIC_SPECIES
Be 9.01 Be.upf
Ag 107.87 Ag.upf
Li 6.94 Li.upf
CELL_PARAMETERS angstrom
-3.6242 -2.5326 1.7760
2.4017 -0.5798 4.0742
-1.9494 3.9941 1.7176
ATOMIC_POSITIONS angstrom
Be -1.5860 0.4408 3.7839
Ag 0.0000 0.0000 0.0000
Li -1.8121 -1.2663 0.8880
Li -0.9747 1.9971 0.8588
Li 1.2008 -0.2899 2.0371